(1)
Below is a geometry-optimized Ce2MnWN5 structure, with properties calculated at the PBE level.

The structure in POSCAR format:
```
Ce2MnWN5
1.0
-0.239 2.261 -2.299
-5.039 1.658 4.428
6.382 5.837 5.077
N Ce Mn W
10 4 2 2
Direct
0.707 0.414 0.155
0.502 0.005 0.285
0.347 0.694 0.005
0.653 0.306 0.505
0.960 0.921 0.541
0.498 0.995 0.785
0.316 0.633 0.372
0.040 0.079 0.041
0.684 0.367 0.872
0.293 0.586 0.655
0.116 0.232 0.686
0.884 0.768 0.186
0.862 0.723 0.815
0.138 0.277 0.315
0.450 0.899 0.451
0.550 0.101 0.951
0.803 0.606 0.514
0.197 0.394 0.014
```

ΔE_f (raw), kJ/mol of atoms: -89
Spin magnetization, μB/cell: 0.00
Total DFT energy (no corrections), eV for the cell shown: -167.8

=====

(2)
Below is a geometry-optimized Ce2YMnN5 structure, with properties calculated at the PBE level.

The structure in POSCAR format:
```
Ce2YMnN5
1.0
5.635 0.000 0.000
0.000 6.526 0.000
0.000 0.000 6.526
Ce N Y Mn
4 10 2 2
Direct
0.500 0.668 0.168
0.500 0.832 0.668
0.500 0.168 0.332
0.500 0.332 0.832
0.226 0.855 0.355
0.226 0.645 0.855
0.226 0.145 0.645
0.226 0.355 0.145
0.774 0.645 0.855
0.774 0.145 0.645
0.500 0.000 0.000
0.500 0.500 0.500
0.774 0.355 0.145
0.774 0.855 0.355
0.000 0.000 0.000
0.000 0.500 0.500
0.000 0.000 0.500
0.000 0.500 0.000
```

ΔE_f (raw), kJ/mol of atoms: -88
Spin magnetization, μB/cell: 1.95
Total DFT energy (no corrections), eV for the cell shown: -154.7

=====

(3)
Below is a geometry-optimized Ce2YMnN4 structure, with properties calculated at the PBE level.

The structure in POSCAR format:
```
Ce2YMnN4
1.0
3.374 0.000 0.000
-1.687 5.745 0.000
0.000 0.000 11.736
N Ce Y Mn
8 4 2 2
Direct
0.000 0.000 0.500
0.271 0.543 0.135
0.271 0.543 0.365
0.729 0.457 0.865
0.561 0.121 0.250
0.000 0.000 0.000
0.729 0.457 0.635
0.439 0.879 0.750
0.366 0.732 0.551
0.634 0.268 0.449
0.366 0.732 0.949
0.634 0.268 0.051
0.113 0.225 0.750
0.887 0.775 0.250
0.152 0.305 0.250
0.848 0.695 0.750
```

ΔE_f (raw), kJ/mol of atoms: -107
Spin magnetization, μB/cell: 1.40
Total DFT energy (no corrections), eV for the cell shown: -139.4

=====

(4)
Below is a geometry-optimized Ce2MnZnN5 structure, with properties calculated at the PBE level.

The structure in POSCAR format:
```
Ce2MnZnN5
1.0
3.302 0.000 0.000
-1.651 7.066 0.000
0.000 0.000 9.164
N Zn Ce Mn
10 2 4 2
Direct
0.368 0.736 0.008
0.095 0.190 0.008
0.632 0.264 0.508
0.500 0.000 0.258
0.726 0.451 0.881
0.726 0.451 0.136
0.274 0.549 0.381
0.274 0.549 0.636
0.500 0.000 0.758
0.905 0.810 0.508
0.483 0.965 0.508
0.517 0.035 0.008
0.873 0.746 0.763
0.873 0.746 0.253
0.127 0.254 0.753
0.127 0.254 0.263
0.247 0.494 0.008
0.753 0.506 0.508
```

ΔE_f (raw), kJ/mol of atoms: -58
Spin magnetization, μB/cell: 0.00
Total DFT energy (no corrections), eV for the cell shown: -138.7